1.
Nd3Ge4Ir | PBE-GGA | optimized geometry

Geometry as POSCAR:
```
Nd3Ge4Ir
1.0
-2.804 3.301 -1.292
-2.576 -0.092 5.354
7.501 3.422 0.369
Nd Ge Ir
3 4 1
direct
0.190 0.190 0.380
0.810 0.810 0.620
0.000 0.500 0.000
0.378 0.591 0.756
0.622 0.409 0.244
0.622 0.835 0.244
0.378 0.165 0.756
0.500 0.000 0.000
```

SG: Immm
DFT formation energy (meV per atom): -652.7


2.
Nd4Ge8Ir | PBE-GGA | optimized geometry

Geometry as POSCAR:
```
Nd4Ge8Ir
1.0
-3.588 1.922 0.644
-1.595 -1.795 -3.527
-5.358 -13.035 9.057
Nd Ge Ir
4 8 1
direct
0.000 0.000 0.102
0.000 0.500 0.608
0.500 0.500 0.398
0.500 0.000 0.895
0.000 0.000 0.461
0.000 0.500 0.948
0.500 0.500 0.045
0.500 0.000 0.556
0.000 0.500 0.237
0.000 0.000 0.749
0.500 0.000 0.235
0.500 0.500 0.754
0.000 0.000 0.315
```

SG: Pmm2
DFT formation energy (meV per atom): -633.8


3.
Nd2Ge3Ir2 | PBE-GGA | optimized geometry

Geometry as POSCAR:
```
Nd2Ge3Ir2
1.0
0.802 -2.434 -3.412
2.381 -5.252 4.307
-8.861 -2.231 2.177
Nd Ge Ir
4 6 4
direct
0.156 0.250 0.313
0.844 0.750 0.687
0.942 0.250 0.884
0.058 0.750 0.116
0.225 0.750 0.450
0.775 0.250 0.550
0.564 0.435 0.128
0.436 0.565 0.872
0.436 0.935 0.872
0.564 0.065 0.128
0.694 0.948 0.388
0.306 0.052 0.612
0.306 0.448 0.612
0.694 0.552 0.388
```

Distance to the lowest polymorph of the same formula (meV/atom): 0
SG: Cmcm
DFT formation energy (meV per atom): -712.2


4.
Nd5GeIr2 | PBE-GGA | optimized geometry

Geometry as POSCAR:
```
Nd5GeIr2
1.0
-4.385 4.726 4.633
-1.072 -5.991 5.097
8.300 2.500 -1.498
Nd Ge Ir
10 2 4
direct
0.524 0.697 0.722
0.803 0.976 0.278
0.000 0.000 0.000
0.500 0.500 0.000
0.197 0.024 0.722
0.697 0.197 0.722
0.024 0.524 0.722
0.303 0.803 0.278
0.976 0.476 0.278
0.476 0.303 0.278
0.750 0.750 0.500
0.250 0.250 0.500
0.135 0.365 0.000
0.635 0.135 0.000
0.365 0.865 0.000
0.865 0.635 0.000
```

SG: I4/mcm
DFT formation energy (meV per atom): -624.0


> What is the DFT formation energy in the second record?

-633.8 meV per atom


Repeat the third record exactly.
Nd2Ge3Ir2 | PBE-GGA | optimized geometry

Geometry as POSCAR:
```
Nd2Ge3Ir2
1.0
0.802 -2.434 -3.412
2.381 -5.252 4.307
-8.861 -2.231 2.177
Nd Ge Ir
4 6 4
direct
0.156 0.250 0.313
0.844 0.750 0.687
0.942 0.250 0.884
0.058 0.750 0.116
0.225 0.750 0.450
0.775 0.250 0.550
0.564 0.435 0.128
0.436 0.565 0.872
0.436 0.935 0.872
0.564 0.065 0.128
0.694 0.948 0.388
0.306 0.052 0.612
0.306 0.448 0.612
0.694 0.552 0.388
```

Distance to the lowest polymorph of the same formula (meV/atom): 0
SG: Cmcm
DFT formation energy (meV per atom): -712.2


> What is the formula in the first record?

Nd3Ge4Ir


> Among the records above, which one has the lowest DFT formation energy?

Nd2Ge3Ir2